Sm8Mg2Pt: optimized geometry, PBE.

Summary:
total DFT energy (no corrections) = -4.4483 eV per atom
magnetic moment = 0.00 μB per formula unit
crystal system = monoclinic

```
Sm8Mg2Pt
1.0
8.952 -2.761 0.000
8.952 2.761 0.000
-2.467 0.000 6.723
Sm Mg Pt
8 2 1
Direct
0.015 0.015 0.278 Sm
0.197 0.197 0.765 Sm
0.349 0.349 0.564 Sm
0.402 0.402 0.083 Sm
0.598 0.598 0.917 Sm
0.651 0.651 0.436 Sm
0.803 0.803 0.235 Sm
0.985 0.985 0.722 Sm
0.182 0.182 0.195 Mg
0.818 0.818 0.805 Mg
0.500 0.500 0.500 Pt
```

SmMg3Pt: optimized geometry, PBE.

Summary:
total DFT energy (no corrections) = -3.6362 eV per atom
magnetic moment = 0.00 μB per formula unit
crystal system = monoclinic

```
SmMg3Pt
1.0
5.573 0.000 0.000
0.000 5.871 0.000
-2.467 0.000 7.020
Sm Mg Pt
2 6 2
Direct
0.099 0.250 0.389 Sm
0.901 0.750 0.611 Sm
0.035 0.250 0.894 Mg
0.494 0.501 0.205 Mg
0.494 0.999 0.205 Mg
0.506 0.001 0.795 Mg
0.506 0.499 0.795 Mg
0.965 0.750 0.106 Mg
0.322 0.750 0.464 Pt
0.678 0.250 0.536 Pt
```

Sm4MgPt: optimized geometry, PBE.

Summary:
total DFT energy (no corrections) = -4.9005 eV per atom
magnetic moment = 0.00 μB per formula unit
crystal system = cubic

```
Sm4MgPt
1.0
0.000 7.049 7.049
7.049 0.000 7.049
7.049 7.049 0.000
Sm Mg Pt
16 4 4
Direct
0.059 0.059 0.441 Sm
0.059 0.441 0.059 Sm
0.059 0.441 0.441 Sm
0.184 0.184 0.816 Sm
0.184 0.816 0.184 Sm
0.184 0.816 0.816 Sm
0.205 0.598 0.598 Sm
0.441 0.059 0.059 Sm
0.441 0.059 0.441 Sm
0.441 0.441 0.059 Sm
0.598 0.205 0.598 Sm
0.598 0.598 0.205 Sm
0.598 0.598 0.598 Sm
0.816 0.184 0.184 Sm
0.816 0.184 0.816 Sm
0.816 0.816 0.184 Sm
0.511 0.830 0.830 Mg
0.830 0.511 0.830 Mg
0.830 0.830 0.511 Mg
0.830 0.830 0.830 Mg
0.393 0.393 0.393 Pt
0.393 0.393 0.822 Pt
0.393 0.822 0.393 Pt
0.822 0.393 0.393 Pt
```

SmMg9Pt2: optimized geometry, PBE.

Summary:
total DFT energy (no corrections) = -2.9728 eV per atom
magnetic moment = 0.00 μB per formula unit
crystal system = tetragonal

```
SmMg9Pt2
1.0
-5.819 5.819 3.754
5.819 -5.819 3.754
5.819 5.819 -3.754
Sm Mg Pt
2 18 4
Direct
0.375 0.625 0.750 Sm
0.625 0.375 0.250 Sm
0.125 0.875 0.250 Mg
0.136 0.567 0.325 Mg
0.136 0.811 0.569 Mg
0.189 0.258 0.325 Mg
0.189 0.864 0.931 Mg
0.258 0.189 0.825 Mg
0.258 0.433 0.069 Mg
0.433 0.258 0.569 Mg
0.433 0.864 0.175 Mg
0.567 0.136 0.825 Mg
0.567 0.742 0.431 Mg
0.742 0.567 0.931 Mg
0.742 0.811 0.175 Mg
0.811 0.136 0.069 Mg
0.811 0.742 0.675 Mg
0.864 0.189 0.431 Mg
0.864 0.433 0.675 Mg
0.875 0.125 0.750 Mg
0.000 0.000 0.000 Pt
0.000 0.000 0.500 Pt
0.000 0.500 0.000 Pt
0.500 0.000 0.500 Pt
```

SmMg2Pt2: optimized geometry, PBE.

Summary:
total DFT energy (no corrections) = -4.8843 eV per atom
magnetic moment = 0.00 μB per formula unit
crystal system = tetragonal

```
SmMg2Pt2
1.0
-2.024 2.024 6.291
2.024 -2.024 6.291
2.024 2.024 -6.291
Sm Mg Pt
1 2 2
Direct
0.000 0.000 0.000 Sm
0.250 0.750 0.500 Mg
0.750 0.250 0.500 Mg
0.392 0.392 0.000 Pt
0.608 0.608 0.000 Pt
```

Sm6Mg2Pt: optimized geometry, PBE.

Summary:
total DFT energy (no corrections) = -4.3496 eV per atom
magnetic moment = 0.00 μB per formula unit
crystal system = monoclinic

```
Sm6Mg2Pt
1.0
6.479 0.000 0.000
0.000 8.153 0.000
-4.379 0.000 10.341
Sm Mg Pt
12 4 2
Direct
0.112 0.038 0.252 Sm
0.112 0.462 0.752 Sm
0.157 0.707 0.035 Sm
0.157 0.793 0.535 Sm
0.372 0.159 0.014 Sm
0.372 0.341 0.514 Sm
0.628 0.659 0.486 Sm
0.628 0.841 0.986 Sm
0.843 0.207 0.465 Sm
0.843 0.293 0.965 Sm
0.888 0.538 0.248 Sm
0.888 0.962 0.748 Sm
0.383 0.091 0.729 Mg
0.383 0.409 0.229 Mg
0.617 0.591 0.771 Mg
0.617 0.909 0.271 Mg
0.500 0.000 0.500 Pt
0.500 0.500 0.000 Pt
```

SmMgPt: optimized geometry, PBE.

Summary:
total DFT energy (no corrections) = -4.9981 eV per atom
magnetic moment = 0.00 μB per formula unit
crystal system = orthorhombic

```
SmMgPt
1.0
13.442 0.000 0.000
0.000 4.059 0.000
0.000 0.000 7.567
Sm Mg Pt
6 6 6
Direct
0.046 0.000 0.226 Sm
0.250 0.000 0.847 Sm
0.454 0.000 0.226 Sm
0.546 0.000 0.774 Sm
0.750 0.000 0.153 Sm
0.954 0.000 0.774 Sm
0.128 0.500 0.564 Mg
0.250 0.500 0.199 Mg
0.372 0.500 0.564 Mg
0.628 0.500 0.436 Mg
0.750 0.500 0.801 Mg
0.872 0.500 0.436 Mg
0.099 0.500 0.935 Pt
0.250 0.000 0.438 Pt
0.401 0.500 0.935 Pt
0.599 0.500 0.065 Pt
0.750 0.000 0.562 Pt
0.901 0.500 0.065 Pt
```

SmMgPt: optimized geometry, PBE.

Summary:
total DFT energy (no corrections) = -5.0485 eV per atom
magnetic moment = 0.00 μB per formula unit
crystal system = hexagonal

```
SmMgPt
1.0
7.506 0.000 0.000
-3.753 6.500 0.000
0.000 0.000 4.111
Sm Mg Pt
3 3 3
Direct
0.000 0.411 0.000 Sm
0.411 0.000 0.000 Sm
0.589 0.589 0.000 Sm
0.000 0.757 0.500 Mg
0.243 0.243 0.500 Mg
0.757 0.000 0.500 Mg
0.000 0.000 0.000 Pt
0.333 0.667 0.500 Pt
0.667 0.333 0.500 Pt
```

SmMgPt: optimized geometry, PBE.

Summary:
total DFT energy (no corrections) = -4.9039 eV per atom
magnetic moment = 0.00 μB per formula unit
crystal system = cubic

```
SmMgPt
1.0
0.000 3.364 3.364
3.364 0.000 3.364
3.364 3.364 0.000
Sm Mg Pt
1 1 1
Direct
0.000 0.000 0.000 Sm
0.500 0.500 0.500 Mg
0.250 0.250 0.250 Pt
```

SmMgPt: optimized geometry, PBE.

Summary:
total DFT energy (no corrections) = -4.8188 eV per atom
magnetic moment = 0.00 μB per formula unit
crystal system = trigonal

```
SmMgPt
1.0
4.556 0.000 0.000
-2.278 3.946 0.000
0.000 0.000 3.817
Sm Mg Pt
1 1 1
Direct
0.000 0.000 0.000 Sm
0.667 0.333 0.500 Mg
0.333 0.667 0.501 Pt
```